{"formula": "AgRhPb2O6", "functional": "PBE", "state": "optimized geometry", "vol_a3_per_cell": 142, "final_energy_ev_per_cell": -54.6, "formation_energy_uncorrected_ev_per_fu": -7.3, "m_tot_mub_per_atom": 0.000, "cell": [[-5.388, 1.374, 1.252], [-3.531, -3.946, 2.109], [-1.566, 0.391, 5.816]], "species": ["O", "O", "Ag", "O", "O", "Pb", "Pb", "Rh", "O", "O"], "frac_coords": [[0.218, 0.973, 0.235], [0.575, 0.218, 0.235], [0.797, 0.798, 0.608], [0.140, 0.399, 0.775], [0.399, 0.686, 0.775], [0.534, 0.534, 0.399], [0.015, 0.015, 0.954], [0.324, 0.324, 0.027], [0.973, 0.574, 0.235], [0.686, 0.140, 0.775]]}

{"formula": "Ti5In2Ni2Ru", "functional": "PBE", "state": "optimized geometry", "vol_a3_per_cell": 333, "final_energy_ev_per_cell": -137.4, "m_tot_mub_per_atom": 0.000, "cell": [[3.048, 0.000, 0.000], [0.000, 10.445, 0.000], [0.000, 0.000, 10.445]], "species": ["Ti", "In", "Ni", "Ru", "Ti", "In", "Ti", "Ni", "Ti", "Ni", "Ti", "In", "Ti", "In", "Ru", "Ni", "Ti", "Ti", "Ti", "Ti"], "frac_coords": [[0.500, 0.060, 0.804], [0.000, 0.323, 0.823], [0.000, 0.871, 0.371], [0.000, 0.500, 0.500], [0.500, 0.940, 0.196], [0.000, 0.823, 0.677], [0.500, 0.560, 0.696], [0.000, 0.129, 0.629], [0.500, 0.500, 0.000], [0.000, 0.371, 0.129], [0.500, 0.804, 0.940], [0.000, 0.177, 0.323], [0.500, 0.304, 0.560], [0.000, 0.677, 0.177], [0.000, 0.000, 0.000], [0.000, 0.629, 0.871], [0.500, 0.000, 0.500], [0.500, 0.440, 0.304], [0.500, 0.196, 0.060], [0.500, 0.696, 0.440]]}

{"formula": "Dy3YHoTm", "functional": "PBE", "state": "optimized geometry", "vol_a3_per_cell": 396, "final_energy_ev_per_cell": -56.1, "m_tot_mub_per_atom": 0.000, "cell": [[5.410, 0.099, 0.078], [-2.530, 10.650, 2.536], [0.067, -0.610, 6.696]], "species": ["Dy", "Dy", "Dy", "Ho", "Y", "Tm", "Dy", "Dy", "Dy", "Ho", "Tm", "Y"], "frac_coords": [[0.182, 0.340, 0.727], [0.497, 0.048, 0.729], [0.503, 0.952, 0.271], [0.681, 0.332, 0.474], [0.354, 0.738, 0.970], [0.911, 0.854, 0.657], [0.768, 0.549, 0.809], [0.232, 0.451, 0.191], [0.818, 0.660, 0.273], [0.319, 0.668, 0.526], [0.089, 0.146, 0.343], [0.646, 0.262, 0.030]]}

{"formula": "HfZrRe3", "functional": "PBE", "state": "optimized geometry", "vol_a3_per_cell": 107, "final_energy_ev_per_cell": -46.5, "m_tot_mub_per_atom": 0.000, "cell": [[-1.254, 3.487, -2.960], [-1.797, -3.198, -3.006], [-4.206, 0.327, 2.166]], "species": ["Re", "Hf", "Zr", "Re", "Re"], "frac_coords": [[0.000, 0.500, 0.000], [0.000, 0.000, 0.000], [0.500, 0.500, 0.500], [0.500, 0.000, 0.000], [0.000, 0.000, 0.500]]}

{"formula": "Tb2DyO", "functional": "PBE", "state": "optimized geometry", "vol_a3_per_cell": 94, "final_energy_ev_per_cell": -24.2, "formation_energy_uncorrected_ev_per_fu": -5.3, "m_tot_mub_per_atom": 0.000, "cell": [[3.538, 0.000, 0.000], [1.769, 3.064, 0.000], [1.769, 1.021, 8.715]], "species": ["O", "Dy", "Tb", "Tb"], "frac_coords": [[0.000, 0.000, 0.000], [0.500, 0.500, 0.500], [0.719, 0.719, 0.842], [0.281, 0.281, 0.158]]}

{"formula": "KAsCl2", "functional": "PBE", "state": "optimized geometry", "vol_a3_per_cell": 109, "final_energy_ev_per_cell": -9.9, "formation_energy_uncorrected_ev_per_fu": -0.5, "m_tot_mub_per_atom": 0.500, "cell": [[5.362, 0.000, 0.000], [2.681, 4.643, 0.000], [2.681, 1.548, 4.378]], "species": ["K", "Cl", "Cl", "As"], "frac_coords": [[0.750, 0.750, 0.750], [0.000, 0.000, 0.000], [0.250, 0.250, 0.250], [0.500, 0.500, 0.500]]}

{"formula": "KMgNiSb2", "functional": "PBE", "state": "optimized geometry", "vol_a3_per_cell": 181, "final_energy_ev_per_cell": -8.4, "formation_energy_uncorrected_ev_per_fu": 8.3, "m_tot_mub_per_atom": 0.271, "cell": [[5.774, 0.000, 0.000], [0.000, 5.424, 0.000], [0.000, 0.000, 5.774]], "species": ["Ni", "Sb", "K", "Mg", "Sb"], "frac_coords": [[0.500, 0.500, 0.500], [0.000, 0.000, 0.500], [0.000, 0.000, 0.000], [0.000, 0.500, 0.000], [0.500, 0.000, 0.000]]}

{"formula": "Na14Zn2O9", "functional": "PBE", "state": "optimized geometry", "vol_a3_per_cell": 361, "final_energy_ev_per_cell": -97.9, "formation_energy_uncorrected_ev_per_fu": -32.3, "m_tot_mub_per_atom": 0.006, "cell": [[6.666, 0.000, 0.000], [-3.333, 5.773, 0.000], [0.000, 0.000, 9.378]], "species": ["Na", "Na", "Na", "O", "O", "O", "Na", "Na", "Na", "O", "Na", "O", "Zn", "Na", "Na", "O", "Na", "Zn", "Na", "Na", "O", "Na", "Na", "O", "O"], "frac_coords": [[0.065, 0.377, 0.593], [0.000, 0.000, 0.749], [0.688, 0.065, 0.407], [0.667, 0.333, 0.957], [0.000, 0.000, 0.000], [0.943, 0.639, 0.663], [0.935, 0.623, 0.407], [0.377, 0.312, 0.407], [0.312, 0.935, 0.593], [0.361, 0.304, 0.663], [0.326, 0.360, 0.908], [0.639, 0.696, 0.337], [0.667, 0.333, 0.737], [0.966, 0.326, 0.092], [0.640, 0.966, 0.908], [0.304, 0.943, 0.337], [0.000, 0.000, 0.251], [0.333, 0.667, 0.263], [0.674, 0.640, 0.092], [0.360, 0.034, 0.092], [0.057, 0.361, 0.337], [0.623, 0.688, 0.593], [0.034, 0.674, 0.908], [0.333, 0.667, 0.043], [0.696, 0.057, 0.663]]}